ZnH3Pd6 PBE-GGA relaxed; magnetization = 0.00 μB per formula unit; energy above the lowest structure with this stoichiometry = 99 meV/atom; crystal system = orthorhombic; space-group type = Cmc2_1
1.0
5.1815 0.0000 0.0000
0.0000 6.8932 -0.0366
0.0000 -1.5739 6.7113
Zn H Pd
2 6 12
Cartesian
4.8239 0.7782 4.8368
2.2331 4.5412 1.8379
2.3042 5.1576 5.0841
4.8950 3.8050 6.1621
2.5654 1.7260 4.0814
5.1561 3.5933 2.5933
4.8950 0.1617 1.5906
2.3042 1.5144 0.5125
0.9569 4.2061 4.0360
3.5477 2.9956 5.0007
1.0562 2.5708 6.1818
3.6470 5.4522 3.8855
2.5302 6.5824 0.2111
2.0961 0.3101 5.2098
4.6868 5.0093 1.4648
5.1210 -1.2631 6.4635
1.0562 -0.1329 2.7892
3.6470 2.7485 0.4929
0.9569 2.3237 1.6739
3.5477 1.1132 2.6387


ZnH4Pd4 PBE-GGA relaxed; magnetization = 0.00 μB per formula unit; crystal system = monoclinic; space-group type = C2/m; final energy = -4.109 eV per atom
1.0
-2.3867 -2.2488 -0.1796
2.1382 -4.4884 -2.2414
0.1755 -2.9555 4.6480
Zn H Pd
1 4 4
Cartesian
0.0000 0.0000 0.0000
-0.4131 -4.3157 -0.5278
0.3401 -5.3771 2.7548
-0.0197 -2.5216 1.8084
-0.0533 -7.1711 0.4186
-0.3189 -7.0320 2.2063
0.2459 -2.6607 0.0207
0.7952 -5.6245 -0.1955
-0.8682 -4.0682 2.4224


What did the first record say?
ZnH3Pd6 PBE-GGA relaxed; magnetization = 0.00 μB per formula unit; energy above the lowest structure with this stoichiometry = 99 meV/atom; crystal system = orthorhombic; space-group type = Cmc2_1
1.0
5.1815 0.0000 0.0000
0.0000 6.8932 -0.0366
0.0000 -1.5739 6.7113
Zn H Pd
2 6 12
Cartesian
4.8239 0.7782 4.8368
2.2331 4.5412 1.8379
2.3042 5.1576 5.0841
4.8950 3.8050 6.1621
2.5654 1.7260 4.0814
5.1561 3.5933 2.5933
4.8950 0.1617 1.5906
2.3042 1.5144 0.5125
0.9569 4.2061 4.0360
3.5477 2.9956 5.0007
1.0562 2.5708 6.1818
3.6470 5.4522 3.8855
2.5302 6.5824 0.2111
2.0961 0.3101 5.2098
4.6868 5.0093 1.4648
5.1210 -1.2631 6.4635
1.0562 -0.1329 2.7892
3.6470 2.7485 0.4929
0.9569 2.3237 1.6739
3.5477 1.1132 2.6387


- Number 2 is which compound?
  ZnH4Pd4


- Which value of magnetization does entry 1 give?
  0.00 μB per formula unit